# Ni3GeMo

A relaxed Ni3GeMo crystal (GGA-PBE, the Alexandria database).

a = 4.509 Å, b = 4.509 Å, c = 4.509 Å
α = 90.00°, β = 90.00°, γ = 90.00°
Space group Pm-3m (No. 221)
One atom of each set of equivalent atoms:
Ni  0.000  0.000  0.500 x3
Ge  0.500  0.500  0.500 x1
Mo  0.000  0.000  0.000 x1

Volume = 18.336 A^3/atom
Magnetization = 0.0 μB/cell
Energy relative to the lowest polymorph listed for this composition = 415 meV per atom
E_form = 6.477 eV/f.u.
Total DFT energy (no corrections) = -26.32 eV/f.u.